Entry 1:
Below is crystalline NaSr2SnN at its relaxed geometry, with properties calculated at the PBE level.

Cell and atoms, written as POSCAR:
```
NaSr2SnN
1.0
5.215 0.000 0.000
0.000 5.215 0.000
0.000 0.000 5.010
Na Sr Sn N
1 2 1 1
direct
0.000 0.000 0.000
0.000 0.500 0.500
0.500 0.000 0.500
0.500 0.500 0.000
0.000 0.000 0.500
```

**Energy relative to the elements, uncorrected**: -0.313 eV per atom

Entry 2:
Below is crystalline KTl2Ag2 at its relaxed geometry, with properties calculated at the PBE level.

Cell and atoms, written as POSCAR:
```
KTl2Ag2
1.0
9.020 0.000 0.000
0.000 9.020 0.000
0.000 0.000 3.300
K Tl Ag
2 4 4
direct
0.000 0.000 0.000
0.500 0.500 0.000
0.134 0.366 0.000
0.366 0.866 0.000
0.634 0.134 0.000
0.866 0.634 0.000
0.161 0.661 0.500
0.339 0.161 0.500
0.661 0.839 0.500
0.839 0.339 0.500
```

**E above lowest polymorph**: 68 meV per atom
**DFT formation energy**: 0.0545 eV per atom

Entry 3:
Below is crystalline Ho2ErSc3Te6 at its relaxed geometry, with properties calculated at the PBE level.

Cell and atoms, written as POSCAR:
```
Ho2ErSc3Te6
1.0
9.261 -2.121 0.000
9.261 2.121 0.000
-1.962 0.000 8.293
Ho Er Sc Te
2 1 3 6
direct
0.167 0.167 0.334
0.833 0.833 0.666
0.500 0.500 0.000
0.168 0.168 0.833
0.500 0.500 0.500
0.832 0.832 0.167
0.003 0.003 0.744
0.331 0.331 0.925
0.337 0.337 0.410
0.663 0.663 0.590
0.669 0.669 0.075
0.997 0.997 0.256
```

**Energy relative to the elements, uncorrected**: -1.167 eV per atom

Entry 4:
Below is crystalline PrGdH2 at its relaxed geometry, with properties calculated at the PBE level.

Cell and atoms, written as POSCAR:
```
PrGdH2
1.0
3.597 0.000 0.000
-1.798 3.115 0.000
0.000 0.000 17.588
Pr Gd H
3 3 6
direct
0.000 0.000 0.000
0.333 0.667 0.667
0.667 0.333 0.333
0.000 0.000 0.500
0.333 0.667 0.167
0.667 0.333 0.833
0.000 0.000 0.245
0.000 0.000 0.755
0.333 0.667 0.422
0.333 0.667 0.911
0.667 0.333 0.089
0.667 0.333 0.578
```

**Energy**: -6.784 eV/atom

Entry 5:
Below is crystalline BaAg6F12 at its relaxed geometry, with properties calculated at the PBE level.

Cell and atoms, written as POSCAR:
```
BaAg6F12
1.0
5.666 3.271 2.700
-5.666 3.271 2.700
0.000 -6.543 2.700
Ba Ag F
1 6 12
direct
0.000 0.000 0.000
0.218 0.221 0.593
0.221 0.593 0.218
0.407 0.782 0.779
0.593 0.218 0.221
0.779 0.407 0.782
0.782 0.779 0.407
0.001 0.250 0.757
0.158 0.407 0.405
0.243 0.999 0.750
0.250 0.757 0.001
0.405 0.158 0.407
0.407 0.405 0.158
0.593 0.595 0.842
0.595 0.842 0.593
0.750 0.243 0.999
0.757 0.001 0.250
0.842 0.593 0.595
0.999 0.750 0.243
```

**E above lowest polymorph**: 0 meV per atom
**Energy relative to the elements, uncorrected**: -1.543 eV per atom

Entry 6:
Below is crystalline Mg4PtAu3 at its relaxed geometry, with properties calculated at the PBE level.

Cell and atoms, written as POSCAR:
```
Mg4PtAu3
1.0
3.189 0.000 0.000
0.000 3.189 0.000
0.000 0.000 13.765
Mg Pt Au
4 1 3
direct
0.000 0.000 0.115
0.000 0.000 0.372
0.000 0.000 0.628
0.000 0.000 0.885
0.500 0.500 0.000
0.500 0.500 0.245
0.500 0.500 0.500
0.500 0.500 0.755
```

**DFT formation energy**: -0.6633 eV per atom

Entry 7:
Below is crystalline ThMgScTl at its relaxed geometry, with properties calculated at the PBE level.

Cell and atoms, written as POSCAR:
```
ThMgScTl
1.0
7.494 0.000 0.000
0.000 7.494 0.000
0.000 0.000 7.494
Th Mg Sc Tl
4 4 4 4
direct
0.000 0.000 0.000
0.000 0.500 0.500
0.500 0.000 0.500
0.500 0.500 0.000
0.250 0.250 0.750
0.250 0.750 0.250
0.750 0.250 0.250
0.750 0.750 0.750
0.000 0.000 0.500
0.000 0.500 0.000
0.500 0.000 0.000
0.500 0.500 0.500
0.250 0.250 0.250
0.250 0.750 0.750
0.750 0.250 0.750
0.750 0.750 0.250
```

**DFT formation energy**: -0.0551 eV per atom

Entry 8:
Below is crystalline Re2POs at its relaxed geometry, with properties calculated at the PBE level.

Cell and atoms, written as POSCAR:
```
Re2POs
1.0
3.661 0.000 0.000
0.000 3.661 0.000
0.000 0.000 4.305
Re P Os
2 1 1
direct
0.000 0.500 0.000
0.500 0.000 0.000
0.000 0.000 0.500
0.500 0.500 0.500
```

**DFT formation energy**: 0.6312 eV per atom

Entry 9:
Below is crystalline Tb2Nd3Ho6In at its relaxed geometry, with properties calculated at the PBE level.

Cell and atoms, written as POSCAR:
```
Tb2Nd3Ho6In
1.0
3.065 -5.309 0.000
3.065 5.309 0.000
-2.046 0.000 11.505
Tb Nd Ho In
2 3 6 1
direct
0.166 0.834 0.000
0.834 0.166 0.000
0.000 0.000 0.500
0.333 0.667 0.500
0.667 0.333 0.500
0.091 0.419 0.756
0.253 0.253 0.244
0.419 0.091 0.756
0.581 0.909 0.244
0.747 0.747 0.756
0.909 0.581 0.244
0.500 0.500 0.000
```

**DFT formation energy**: -0.0419 eV per atom

Entry 10:
Below is crystalline La5Zn4Ag at its relaxed geometry, with properties calculated at the PBE level.

Cell and atoms, written as POSCAR:
```
La5Zn4Ag
1.0
3.792 0.000 0.000
0.000 3.792 0.000
0.000 0.000 18.700
La Zn Ag
5 4 1
direct
0.000 0.000 0.000
0.000 0.000 0.200
0.000 0.000 0.395
0.000 0.000 0.605
0.000 0.000 0.800
0.500 0.500 0.101
0.500 0.500 0.296
0.500 0.500 0.704
0.500 0.500 0.899
0.500 0.500 0.500
```

**DFT formation energy**: -0.3038 eV per atom

Entry 11:
Below is crystalline AcLaPr at its relaxed geometry, with properties calculated at the PBE level.

Cell and atoms, written as POSCAR:
```
AcLaPr
1.0
12.704 0.000 0.000
0.000 3.832 0.000
-4.603 0.000 9.707
Ac La Pr
4 4 4
direct
0.167 0.000 0.090
0.333 0.500 0.910
0.667 0.500 0.090
0.833 0.000 0.910
0.001 0.500 0.742
0.499 0.000 0.258
0.501 0.000 0.742
0.999 0.500 0.258
0.166 0.000 0.578
0.334 0.500 0.422
0.666 0.500 0.578
0.834 0.000 0.422
```

**E above lowest polymorph**: 5 meV per atom
**DFT formation energy**: 0.0249 eV per atom

Entry 12:
Below is crystalline RbNaICl6 at its relaxed geometry, with properties calculated at the PBE level.

Cell and atoms, written as POSCAR:
```
RbNaICl6
1.0
6.987 0.000 0.000
-2.924 6.396 0.000
-0.204 -0.262 7.312
Rb Na I Cl
1 1 1 6
direct
0.000 0.000 0.000
0.308 0.696 0.502
0.662 0.339 0.502
0.365 0.355 0.310
0.388 0.008 0.756
0.644 0.031 0.311
0.645 0.631 0.695
0.974 0.358 0.694
0.991 0.617 0.250
```

**Energy relative to the elements, uncorrected**: -0.862 eV per atom

Entry 13:
Below is crystalline Dy8Co3Ag2 at its relaxed geometry, with properties calculated at the PBE level.

Cell and atoms, written as POSCAR:
```
Dy8Co3Ag2
1.0
8.406 0.000 0.000
0.000 4.517 0.000
-3.145 0.000 8.724
Dy Co Ag
8 3 2
direct
0.069 0.000 0.352
0.151 0.500 0.914
0.309 0.500 0.637
0.410 0.000 0.135
0.590 0.000 0.865
0.691 0.500 0.363
0.849 0.500 0.086
0.931 0.000 0.648
0.258 0.000 0.800
0.500 0.500 0.000
0.742 0.000 0.200
0.267 0.500 0.277
0.733 0.500 0.723
```

**DFT formation energy**: -0.0868 eV per atom

Entry 14:
Below is crystalline Cu2Ru at its relaxed geometry, with properties calculated at the PBE level.

Cell and atoms, written as POSCAR:
```
Cu2Ru
1.0
3.812 0.000 0.000
0.000 10.766 0.000
0.000 0.000 3.747
Cu Ru
8 4
direct
0.000 0.089 0.250
0.000 0.247 0.750
0.000 0.753 0.250
0.000 0.911 0.750
0.500 0.253 0.250
0.500 0.411 0.750
0.500 0.589 0.250
0.500 0.747 0.750
0.000 0.422 0.250
0.000 0.578 0.750
0.500 0.078 0.750
0.500 0.922 0.250
```

**E above lowest polymorph**: 128 meV per atom
**DFT formation energy**: 0.2673 eV per atom

Entry 15:
Below is crystalline KSr2SbH at its relaxed geometry, with properties calculated at the PBE level.

Cell and atoms, written as POSCAR:
```
KSr2SbH
1.0
5.332 0.000 0.000
0.000 5.332 0.000
0.000 0.000 5.123
K Sr Sb H
1 2 1 1
direct
0.000 0.000 0.000
0.000 0.500 0.500
0.500 0.000 0.500
0.500 0.500 0.000
0.000 0.000 0.500
```

**Energy**: -2.853 eV/atom

Entry 16:
Below is crystalline Ba2SrSm at its relaxed geometry, with properties calculated at the PBE level.

Cell and atoms, written as POSCAR:
```
Ba2SrSm
1.0
3.997 0.000 0.000
-1.998 3.461 0.000
0.000 0.000 43.594
Ba Sr Sm
6 3 3
direct
0.000 0.000 0.083
0.000 0.000 0.917
0.333 0.667 0.584
0.333 0.667 0.750
0.667 0.333 0.250
0.667 0.333 0.416
0.000 0.000 0.500
0.333 0.667 0.167
0.667 0.333 0.833
0.000 0.000 0.000
0.333 0.667 0.667
0.667 0.333 0.333
```

**E above lowest polymorph**: 173 meV per atom
**DFT formation energy**: 0.3225 eV per atom

Entry 17:
Below is crystalline LaTb2Pm5Sm at its relaxed geometry, with properties calculated at the PBE level.

Cell and atoms, written as POSCAR:
```
LaTb2Pm5Sm
1.0
2.866 -10.142 0.000
2.866 10.142 0.000
0.000 0.000 10.729
La Tb Pm Sm
2 4 10 2
direct
0.083 0.917 0.500
0.917 0.083 0.000
0.384 0.616 0.372
0.387 0.613 0.782
0.613 0.387 0.282
0.616 0.384 0.872
0.021 0.979 0.790
0.112 0.888 0.075
0.204 0.796 0.756
0.219 0.781 0.363
0.483 0.517 0.076
0.517 0.483 0.576
0.781 0.219 0.863
0.796 0.204 0.256
0.888 0.112 0.575
0.979 0.021 0.290
0.299 0.701 0.061
0.701 0.299 0.561
```

**DFT formation energy**: 0.1464 eV per atom

Entry 18:
Below is crystalline Dy5Cd4Hg at its relaxed geometry, with properties calculated at the PBE level.

Cell and atoms, written as POSCAR:
```
Dy5Cd4Hg
1.0
3.735 0.000 0.000
0.000 3.735 0.000
0.000 0.000 18.724
Dy Cd Hg
5 4 1
direct
0.000 0.000 0.000
0.000 0.000 0.201
0.000 0.000 0.402
0.000 0.000 0.598
0.000 0.000 0.799
0.500 0.500 0.100
0.500 0.500 0.300
0.500 0.500 0.700
0.500 0.500 0.900
0.500 0.500 0.500
```

**DFT formation energy**: -0.3507 eV per atom

Entry 19:
Below is crystalline Tb6Te5Pt at its relaxed geometry, with properties calculated at the PBE level.

Cell and atoms, written as POSCAR:
```
Tb6Te5Pt
1.0
3.800 -6.556 0.000
3.800 6.556 0.000
-2.520 0.000 7.124
Tb Te Pt
6 5 1
direct
0.074 0.375 0.726
0.221 0.221 0.263
0.375 0.074 0.726
0.625 0.926 0.274
0.779 0.779 0.737
0.926 0.625 0.274
0.181 0.819 0.000
0.336 0.664 0.500
0.500 0.500 0.000
0.664 0.336 0.500
0.819 0.181 0.000
0.000 0.000 0.500
```

**Energy relative to the elements, uncorrected**: -1.356 eV per atom

Entry 20:
Below is crystalline YHo2Er12 at its relaxed geometry, with properties calculated at the PBE level.

Cell and atoms, written as POSCAR:
```
YHo2Er12
1.0
6.372 0.000 0.000
0.000 6.372 0.000
0.000 0.000 24.572
Y Ho Er
2 4 24
direct
0.250 0.750 0.000
0.750 0.250 0.000
0.250 0.750 0.271
0.250 0.750 0.729
0.750 0.250 0.271
0.750 0.250 0.729
0.000 0.000 0.113
0.000 0.000 0.887
0.000 0.500 0.113
0.000 0.500 0.887
0.081 0.581 0.439
0.081 0.919 0.561
0.250 0.250 0.214
0.250 0.250 0.339
0.250 0.250 0.661
0.250 0.250 0.786
0.419 0.581 0.561
0.419 0.919 0.439
0.500 0.000 0.113
0.500 0.000 0.887
0.500 0.500 0.113
0.500 0.500 0.887
0.581 0.081 0.561
0.581 0.419 0.439
0.750 0.750 0.214
0.750 0.750 0.339
0.750 0.750 0.661
0.750 0.750 0.786
0.919 0.081 0.439
0.919 0.419 0.561
```

**DFT formation energy**: 0.3827 eV per atom

Entry 21:
Below is crystalline Pr2NiAg3 at its relaxed geometry, with properties calculated at the PBE level.

Cell and atoms, written as POSCAR:
```
Pr2NiAg3
1.0
3.745 0.000 0.000
0.000 4.716 0.000
0.000 0.000 7.960
Pr Ni Ag
2 1 3
direct
0.000 0.000 0.000
0.000 0.500 0.454
0.500 0.000 0.292
0.500 0.000 0.623
0.500 0.500 0.146
0.500 0.500 0.802
```

**DFT formation energy**: -0.2186 eV per atom

Entry 22:
Below is crystalline Y4ZnW at its relaxed geometry, with properties calculated at the PBE level.

Cell and atoms, written as POSCAR:
```
Y4ZnW
1.0
0.000 4.259 4.259
4.259 0.000 4.259
4.259 4.259 0.000
Y Zn W
4 1 1
direct
0.376 0.376 0.376
0.376 0.376 0.871
0.376 0.871 0.376
0.871 0.376 0.376
0.000 0.000 0.000
0.750 0.750 0.750
```

**DFT formation energy**: 0.9544 eV per atom

Entry 23:
Below is crystalline BaBe2SiPt at its relaxed geometry, with properties calculated at the PBE level.

Cell and atoms, written as POSCAR:
```
BaBe2SiPt
1.0
4.547 0.000 0.000
0.000 4.547 0.000
0.000 0.000 4.727
Ba Be Si Pt
1 2 1 1
direct
0.000 0.000 0.000
0.000 0.500 0.500
0.500 0.000 0.500
0.500 0.500 0.000
0.500 0.500 0.500
```

**E above lowest polymorph**: 0 meV per atom
**Energy relative to the elements, uncorrected**: -0.158 eV per atom

Record order is preserved below.
DOS(E_F): 5.60, 3.32, 7.51, 7.03, 4.15, 2.03, 13.77, 4.75, 16.76, 11.54, 23.72, 0.64, 11.51, 14.14, 2.50, 21.49, 27.89, 11.34, 4.61, 54.77, 4.60, 4.81, 1.55 states/eV per cell